1.
Below is a geometry-optimized CrTcTe structure, with properties calculated at the PBE level.

Geometry as POSCAR:
```
CrTcTe
1.0
9.730 0.000 -0.001
0.000 3.980 0.000
-1.655 0.000 6.702
Te Cr Tc
4 4 4
direct
0.812 0.000 0.772 Te
0.812 0.500 0.272 Te
0.188 0.500 0.728 Te
0.188 0.000 0.228 Te
0.458 0.500 0.819 Cr
0.542 0.500 0.181 Cr
0.542 0.000 0.681 Cr
0.458 0.000 0.319 Cr
0.363 0.500 0.454 Tc
0.637 0.500 0.546 Tc
0.637 0.000 0.046 Tc
0.363 0.000 0.954 Tc
```

Output
- Uncorrected formation energy: -0.03 eV per formula unit
- Crystal system: monoclinic
- Space-group type: C2/m (12)

2.
Below is a geometry-optimized Na3ZnSn structure, with properties calculated at the PBE level.

Geometry as POSCAR:
```
Na3ZnSn
1.0
5.989 0.000 0.000
0.000 5.989 0.000
0.000 0.000 5.989
Na Zn Sn
3 1 1
direct
0.000 0.500 0.000 Na
0.500 0.000 0.000 Na
0.000 0.000 0.500 Na
0.500 0.500 0.500 Zn
0.000 0.000 0.000 Sn
```

Output
- Crystal system: cubic
- Energy of formation from the pure elements: 1.190 eV per formula unit
- Space-group type: Pm-3m (221)

3.
Below is a geometry-optimized Cs2CaCu structure, with properties calculated at the PBE level.

Geometry as POSCAR:
```
Cs2CaCu
1.0
-6.737 6.737 2.915
6.737 -6.737 2.915
6.737 6.737 -2.915
Cu Cs Ca
2 4 2
direct
0.250 0.750 0.500 Cu
0.000 0.000 0.000 Cu
0.625 0.778 0.653 Cs
0.028 0.375 0.153 Cs
0.125 0.972 0.347 Cs
0.222 0.875 0.847 Cs
0.750 0.250 0.500 Ca
0.500 0.500 0.000 Ca
```

Output
- Crystal system: tetragonal
- Energy of formation from the pure elements: 1.357 eV per formula unit
- Space-group type: I-42d (122)

Calculated polymorph energy (0 for the lowest one), 0, 243, 0 meV per atom (same order as the records).